Here is a relaxed CrTc2Au crystal from Alexandria via LeMat-Bulk. Energies are from GGA-PBE.

a b c (Å): 3.2177 3.2177 5.8150
angles (deg): 90.00 90.00 90.00
Closest atoms and distances in Å follow each position.
Positions (direct):
Tc (0.0000, 0.0000, 0.9821)  4 Cr 2.52, 4 Tc 2.64, 1 Au 2.74
Cr (0.5000, 0.5000, 0.7942)  5 Tc 2.44-2.52
Tc (0.5000, 0.5000, 0.2136)  1 Cr 2.44, 4 Tc 2.64
Au (0.0000, 0.0000, 0.5101)  6 Tc 2.74-3.07, 4 Cr 2.81

Output
D(E_F)   3.500 states/eV/f.u.
DFT total energy   -32.394 eV per cell
Space-group type   P4mm, No. 99
Formation energy   0.3096 eV/atom
Density   12272 kg/m3


Here is a relaxed Cr2TcAu crystal from Alexandria via LeMat-Bulk. Energies are from GGA-PBE.

a b c (Å): 3.6451 2.7993 6.2831
angles (deg): 62.91 90.00 90.00
Closest atoms and distances in Å follow each position.
Positions (direct):
Cr (0.5000, 0.2940, 0.2429)  4 Cr 2.45-2.65, 4 Tc 2.52-2.64, 1 Au 2.71
Tc (0.0000, 0.5388, 0.4517)  3 Cr 2.27-2.52
Cr (0.0000, 0.9300, 0.0469)  1 Tc 2.27, 2 Cr 2.45
Au (0.5000, 0.7372, 0.7585)  6 Cr 2.71-2.89, 2 Au 2.80, 4 Tc 2.85-2.88

Output
D(E_F)   3.761 states/eV/f.u.
DFT total energy   -31.905 eV per cell
Space-group type   Pm, No. 6
Formation energy   0.2464 eV/atom
Density   11606 kg/m3


Here is a relaxed CrTcAu3 crystal from Alexandria via LeMat-Bulk. Energies are from GGA-PBE.

a b c (Å): 4.9585 4.9585 4.9585
angles (deg): 90.00 90.00 90.00
Closest atoms and distances in Å follow each position.
Positions (direct):
Au (0.0000, 0.0000, 0.5000)  2 Tc 2.48
Cr (0.5000, 0.5000, 0.5000)  12 Au 3.51
Tc (0.0000, 0.0000, 0.0000)  6 Au 2.48
Au (0.5000, 0.0000, 0.0000)  2 Tc 2.48
Au (0.0000, 0.5000, 0.0000)  2 Tc 2.48

Output
D(E_F)   13.652 states/eV/f.u.
DFT total energy   -20.744 eV per cell
Space-group type   Pm-3m, No. 221
Formation energy   1.8155 eV/atom
Density   10092 kg/m3


Here is a relaxed CrTcAu4 crystal from Alexandria via LeMat-Bulk. Energies are from GGA-PBE.

a b c (Å): 5.4288 5.4288 5.4288
angles (deg): 60.00 60.00 60.00
Closest atoms and distances in Å follow each position.
Positions (direct):
Tc (0.0000, 0.0000, 0.0000)  12 Au 3.18, 4 Cr 3.32
Cr (0.7500, 0.7500, 0.7500)  12 Au 3.18, 4 Tc 3.32
Au (0.8750, 0.3750, 0.3750)  6 Au 2.71
Au (0.3750, 0.3750, 0.8750)  6 Au 2.71
Au (0.3750, 0.8750, 0.3750)  6 Au 2.71
Au (0.3750, 0.3750, 0.3750)  6 Au 2.71

Output
D(E_F)   3.158 states/eV/f.u.
DFT total energy   -30.008 eV per cell
Space-group type   F-43m, No. 216
Formation energy   0.5152 eV/atom
Density   13766 kg/m3


Here is a relaxed Cr2TcAu crystal from Alexandria via LeMat-Bulk. Energies are from GGA-PBE.

a b c (Å): 3.9308 3.9309 3.6876
angles (deg): 90.00 90.00 90.00
Closest atoms and distances in Å follow each position.
Positions (direct):
Cr (0.0000, 0.0000, 0.0000)  4 Tc 2.69, 4 Au 2.69, 4 Cr 2.78
Cr (0.5000, 0.5000, 0.0000)  4 Au 2.69, 4 Tc 2.69, 4 Cr 2.78
Tc (0.5000, 0.0000, 0.5000)  8 Cr 2.69, 4 Au 2.78
Au (0.0000, 0.5000, 0.5000)  8 Cr 2.69, 4 Tc 2.78

Output
D(E_F)   4.233 states/eV/f.u.
DFT total energy   -31.990 eV per cell
Space-group type   P4/mmm, No. 123
Formation energy   0.2251 eV/atom
Density   11627 kg/m3


Here is a relaxed CrTcAu2 crystal from Alexandria via LeMat-Bulk. Energies are from GGA-PBE.

a b c (Å): 9.2687 9.2687 9.2687
angles (deg): 17.85 17.85 17.85
Closest atoms and distances in Å follow each position.
Positions (direct):
Tc (0.7500, 0.7500, 0.7500)  6 Au 2.85, 6 Tc 2.88
Au (0.9988, 0.9988, 0.9988)  3 Cr 2.79, 3 Tc 2.85, 6 Au 2.88
Cr (0.2500, 0.2500, 0.2500)  6 Au 2.79, 6 Cr 2.88
Au (0.5012, 0.5012, 0.5012)  3 Cr 2.79, 3 Tc 2.85, 6 Au 2.88

Output
D(E_F)   5.913 states/eV/f.u.
DFT total energy   -24.669 eV per cell
Space-group type   R-3m, No. 166
Formation energy   0.4689 eV/atom
Density   13830 kg/m3


Here is a relaxed CrTcAu2 crystal from Alexandria via LeMat-Bulk. Energies are from GGA-PBE.

a b c (Å): 3.9195 3.9195 4.1821
angles (deg): 90.00 90.00 90.00
Closest atoms and distances in Å follow each position.
Positions (direct):
Au (0.0000, 0.0000, 0.0000)  4 Au 2.77, 4 Cr 2.87, 4 Tc 2.87
Cr (0.5000, 0.0000, 0.5000)  4 Tc 2.77, 8 Au 2.87
Au (0.5000, 0.5000, 0.0000)  4 Au 2.77, 4 Tc 2.87, 4 Cr 2.87
Tc (0.0000, 0.5000, 0.5000)  4 Cr 2.77, 8 Au 2.87

Output
D(E_F)   4.607 states/eV/f.u.
DFT total energy   -25.242 eV per cell
Space-group type   P4/mmm, No. 123
Formation energy   0.3255 eV/atom
Density   14059 kg/m3


Here is a relaxed CrTcAu2 crystal from Alexandria via LeMat-Bulk. Energies are from GGA-PBE.

a b c (Å): 8.6450 8.6450 8.6450
angles (deg): 19.93 19.93 19.93
Closest atoms and distances in Å follow each position.
Positions (direct):
Au (0.0033, 0.0033, 0.0033)  3 Tc 2.94, 9 Au 2.94-2.99
Cr (0.4903, 0.4903, 0.4903)  3 Tc 2.31
Au (0.2430, 0.2430, 0.2430)  3 Cr 2.79, 9 Au 2.94-2.99
Tc (0.7634, 0.7634, 0.7634)  3 Cr 2.31

Output
D(E_F)   2.121 states/eV/f.u.
DFT total energy   -25.567 eV per cell
Space-group type   R3m, No. 160
Formation energy   0.2444 eV/atom
Density   13758 kg/m3